1.
This record from Alexandria via LeMat-Bulk describes crystalline Li4Ti3Nb3V2O16 at its relaxed geometry. The functional is PBEsol.

Values from the calculation:
Volume = 10.51 Å³ per atom
Total DFT energy (no corrections) = -475.9 eV per cell
Magnetization = 0.171 μB/atom
Formation energy without anion corrections = -6698 kJ/mol of formula units
N(E_F) = 29.7 states/eV per cell

Cell and atoms, written as CIF:
```
data_Li4Ti3Nb3V2O16
_symmetry_space_group_name_H-M 'C 1 m 1'
_symmetry_Int_Tables_number 8
_cell_length_a 10.296
_cell_length_b 5.893
_cell_length_c 9.701
_cell_angle_alpha 90.00
_cell_angle_beta 90.24
_cell_angle_gamma 90.00
loop_
_symmetry_equiv_pos_as_xyz
'x,y,z'
'x,-y,z'
'x+1/2,y+1/2,z'
'x+1/2,-y+1/2,z'
loop_
_atom_site_label
_atom_site_fract_x
_atom_site_fract_y
_atom_site_fract_z
Li1 0.000 0.000 0.000
Li2 0.003 0.000 0.503
Li3 0.177 0.500 0.395
Li4 0.340 0.000 0.907
Ti1 0.343 0.500 0.724
Ti2 0.424 0.246 0.221
Nb1 0.095 0.274 0.717
Nb2 0.177 0.000 0.219
V1 0.176 0.500 0.990
V2 0.340 0.000 0.489
O1 0.004 0.000 0.322
O2 0.007 0.000 0.820
O3 0.020 0.500 0.862
O4 0.090 0.248 0.104
O5 0.175 0.000 0.600
O6 0.195 0.500 0.591
O7 0.252 0.280 0.848
O8 0.271 0.223 0.347
O9 0.344 0.500 0.110
O10 0.346 0.000 0.108
O11 0.425 0.249 0.606
O12 0.488 0.000 0.342
```

---

2.
This record from Alexandria via LeMat-Bulk describes crystalline Li3NbV2O6 at its relaxed geometry. The functional is PBEsol.

Values from the calculation:
Volume = 8.74 Å³ per atom
Total DFT energy (no corrections) = -189.2 eV per cell
Magnetization = 0.099 μB/atom
Energy relative to the lowest polymorph listed for this composition = 20.0 meV per atom
Formation energy without anion corrections = -2616 kJ/mol of formula units
N(E_F) = 10.3 states/eV per cell

Cell and atoms, written as CIF:
```
data_Li3NbV2O6
_symmetry_space_group_name_H-M 'C 1 2/m 1'
_symmetry_Int_Tables_number 12
_cell_length_a 13.058
_cell_length_b 2.822
_cell_length_c 6.030
_cell_angle_alpha 90.00
_cell_angle_beta 109.39
_cell_angle_gamma 90.00
loop_
_symmetry_equiv_pos_as_xyz
'x,y,z'
'-x,-y,-z'
'-x,y,-z'
'x,-y,z'
'x+1/2,y+1/2,z'
'-x+1/2,-y+1/2,-z'
'-x+1/2,y+1/2,-z'
'x+1/2,-y+1/2,z'
loop_
_atom_site_label
_atom_site_fract_x
_atom_site_fract_y
_atom_site_fract_z
Li1 0.000 0.000 0.000
Li2 0.169 0.500 0.318
Nb1 0.000 0.000 0.500
V1 0.156 0.500 0.812
O1 0.003 0.500 0.234
O2 0.174 0.000 0.592
O3 0.177 0.000 0.057
```

---

3.
This record from Alexandria via LeMat-Bulk describes crystalline Li2NbV3O8 at its relaxed geometry. The functional is PBEsol.

Values from the calculation:
Volume = 10.20 Å³ per atom
Total DFT energy (no corrections) = -354.9 eV per cell
Magnetization = 0.322 μB/atom
Energy relative to the lowest polymorph listed for this composition = 16.9 meV per atom
Formation energy without anion corrections = -3149 kJ/mol of formula units
N(E_F) = 23.9 states/eV per cell

Cell and atoms, written as CIF:
```
data_Li2NbV3O8
_symmetry_space_group_name_H-M 'R -3 m'
_symmetry_Int_Tables_number 166
_symmetry_space_group_name_Hall '-R 3 2"'
_cell_length_a 5.8121
_cell_length_b 5.8121
_cell_length_c 14.6381
_cell_angle_alpha 90.00
_cell_angle_beta 90.00
_cell_angle_gamma 120.00
loop_
_atom_site_label
_atom_site_fract_x
_atom_site_fract_y
_atom_site_fract_z
Li1 0.0000 0.0000 0.1270
Nb1 0.0000 0.0000 0.5000
V1 0.0000 0.5000 0.0000
O1 0.0000 0.0000 0.2619
O2 0.0194 0.5097 0.2550
```

---

What did the second record say?
This record from Alexandria via LeMat-Bulk describes crystalline Li3NbV2O6 at its relaxed geometry. The functional is PBEsol.

Values from the calculation:
Volume = 8.74 Å³ per atom
Total DFT energy (no corrections) = -189.2 eV per cell
Magnetization = 0.099 μB/atom
Energy relative to the lowest polymorph listed for this composition = 20.0 meV per atom
Formation energy without anion corrections = -2616 kJ/mol of formula units
N(E_F) = 10.3 states/eV per cell

Cell and atoms, written as CIF:
```
data_Li3NbV2O6
_symmetry_space_group_name_H-M 'C 1 2/m 1'
_symmetry_Int_Tables_number 12
_cell_length_a 13.058
_cell_length_b 2.822
_cell_length_c 6.030
_cell_angle_alpha 90.00
_cell_angle_beta 109.39
_cell_angle_gamma 90.00
loop_
_symmetry_equiv_pos_as_xyz
'x,y,z'
'-x,-y,-z'
'-x,y,-z'
'x,-y,z'
'x+1/2,y+1/2,z'
'-x+1/2,-y+1/2,-z'
'-x+1/2,y+1/2,-z'
'x+1/2,-y+1/2,z'
loop_
_atom_site_label
_atom_site_fract_x
_atom_site_fract_y
_atom_site_fract_z
Li1 0.000 0.000 0.000
Li2 0.169 0.500 0.318
Nb1 0.000 0.000 0.500
V1 0.156 0.500 0.812
O1 0.003 0.500 0.234
O2 0.174 0.000 0.592
O3 0.177 0.000 0.057
```